(1)
The following is a SCAN calculation of CsCoOs2N at its PBEsol-relaxed geometry, from Alexandria.

abc: 4.351 4.351 6.758
angles: 90.00 90.00 90.00
Atoms (fractional coordinates):
Cs  0.000  0.000  0.000
Co  0.000  0.000  0.500
Os  0.000  0.500  0.500
Os  0.500  0.000  0.500
N  0.500  0.500  0.000

Values from the calculation:
Raw formation energy ... 12.55 eV per formula unit
Density of states at the Fermi level ... 5.04 states/eV per cell
Size of the total moment ... 4.9 μB/cell

=====

(2)
The following is a SCAN calculation of FeMoP2 at its PBEsol-relaxed geometry, from Alexandria.

abc: 3.100 3.100 5.143
angles: 90.00 90.00 90.00
Atoms (fractional coordinates):
Fe  0.000  0.000  0.000
Mo  0.500  0.500  0.357
P  0.000  0.000  0.554
P  0.500  0.500  0.850

Values from the calculation:
Formation energy ... -125 kJ/mol of formula units
Density of states at the Fermi level ... 1.43 states/eV per cell
Size of the total moment ... 2.0 μB/cell

=====

(3)
The following is a SCAN calculation of SbSeBr2N at its PBEsol-relaxed geometry, from Alexandria.

abc: 5.530 5.530 5.295
angles: 90.00 90.00 90.00
Atoms (fractional coordinates):
Sb  0.000  0.000  0.000
Se  0.000  0.000  0.500
Br  0.000  0.500  0.000
Br  0.500  0.000  0.000
N  0.500  0.500  0.500

Values from the calculation:
Raw formation energy ... 4.38 eV per formula unit
Density of states at the Fermi level ... 4.81 states/eV per cell
Size of the total moment ... 2.4 μB/cell